A:
The following is a DFT calculation (PBE) of crystalline ScNiP2S at its relaxed geometry.

Results
Symmetry: P4/mmm (123)
V in Å³ per atom: 17.6

Unit cell a=4.309 b=4.309 c=4.729 alpha=90.00 beta=90.00 gamma=90.00
Fractional positions:
Sc1 0.000 0.000 0.000
Ni1 0.500 0.500 0.500
P1 0.000 0.500 0.500
P2 0.500 0.000 0.500
S1 0.500 0.500 0.000

B:
The following is a DFT calculation (PBE) of crystalline ScNiP2S at its relaxed geometry.

Results
Symmetry: P4/mmm (123)
V in Å³ per atom: 23.1

Unit cell a=4.908 b=4.908 c=4.789 alpha=90.00 beta=90.00 gamma=90.00
Fractional positions:
Sc1 0.000 0.000 0.000
Ni1 0.500 0.500 0.500
P1 0.000 0.500 0.000
P2 0.500 0.000 0.000
S1 0.000 0.000 0.500

Stability ranking, top and bottom: A is the most stable and B is the least stable.

A:
The following is a DFT calculation (PBE) of crystalline NiPSeS at its relaxed geometry.

Results
Symmetry: P1 (1)
V in Å³ per atom: 21.4

Unit cell a=3.750 b=3.890 c=6.458 alpha=80.56 beta=79.59 gamma=68.54
Fractional positions:
Ni1 0.000 0.000 0.000
P1 0.401 0.312 0.939
Se1 0.942 0.439 0.235
S1 0.265 0.738 0.703

B:
The following is a DFT calculation (PBE) of crystalline NiPSeS at its relaxed geometry.

Results
Symmetry: P1 (1)
V in Å³ per atom: 20.7

Unit cell a=3.031 b=4.007 c=7.455 alpha=98.73 beta=90.17 gamma=112.00
Fractional positions:
Ni1 0.000 0.000 0.000
P1 0.277 0.551 0.923
Se1 0.041 0.079 0.304
S1 0.818 0.637 0.723

Stability ranking, top and bottom: A is the most stable and B is the least stable.

A:
The following is a DFT calculation (PBE) of crystalline NiPSeS at its relaxed geometry.

Results
Symmetry: Cm (8)
V in Å³ per atom: 20.4

Unit cell a=8.441 b=8.441 c=3.238 alpha=90.62 beta=90.62 gamma=20.71
Fractional positions:
Ni1 0.000 0.000 0.000
P1 0.088 0.088 0.505
Se1 0.393 0.393 0.995
S1 0.677 0.677 0.510

B:
The following is a DFT calculation (PBE) of crystalline NiPSeS at its relaxed geometry.

Results
Symmetry: P1 (1)
V in Å³ per atom: 24.8

Unit cell a=3.636 b=4.901 c=6.128 alpha=101.67 beta=90.07 gamma=111.69
Fractional positions:
Ni1 0.000 0.000 0.000
P1 0.373 0.744 0.876
Se1 0.483 0.966 0.251
S1 0.146 0.293 0.758

Stability ranking, top and bottom: A is the most stable and B is the least stable.

A:
The following is a DFT calculation (PBE) of crystalline NiPSeS at its relaxed geometry.

Results
Symmetry: R3m (160)
V in Å³ per atom: 19.5

Unit cell a=8.273 b=8.273 c=8.273 alpha=23.34 beta=23.34 gamma=23.34
Fractional positions:
Ni1 0.000 0.000 0.000
P1 0.617 0.617 0.617
Se1 0.731 0.731 0.731
S1 0.537 0.537 0.537

B:
The following is a DFT calculation (PBE) of crystalline NiPSeS at its relaxed geometry.

Results
Symmetry: Cm (8)
V in Å³ per atom: 18.2

Unit cell a=3.604 b=3.604 c=7.515 alpha=108.62 beta=108.62 gamma=53.18
Fractional positions:
Ni1 0.000 0.000 0.000
P1 0.364 0.364 0.180
Se1 0.954 0.954 0.422
S1 0.625 0.625 0.854

Stability ranking, top and bottom: B is the most stable and A is the least stable.

A:
The following is a DFT calculation (PBE) of crystalline NiPSeS at its relaxed geometry.

Results
Symmetry: Cm (8)
V in Å³ per atom: 18.5

Unit cell a=8.707 b=8.707 c=2.601 alpha=90.17 beta=90.17 gamma=21.99
Fractional positions:
Ni1 0.000 0.000 0.000
P1 0.558 0.558 0.501
Se1 0.386 0.386 0.998
S1 0.677 0.677 0.504

B:
The following is a DFT calculation (PBE) of crystalline NiPSeS at its relaxed geometry.

Results
Symmetry: P1 (1)
V in Å³ per atom: 20.1

Unit cell a=3.057 b=3.525 c=8.019 alpha=100.19 beta=96.37 gamma=106.31
Fractional positions:
Ni1 0.000 0.000 0.000
P1 0.160 0.607 0.173
Se1 0.587 0.309 0.831
S1 0.742 0.692 0.365

Stability ranking, top and bottom: B is the most stable and A is the least stable.

A:
The following is a DFT calculation (PBE) of crystalline SrNiP2S at its relaxed geometry.

Results
Symmetry: P4/mmm (123)
V in Å³ per atom: 20.0

Unit cell a=4.383 b=4.383 c=5.219 alpha=90.00 beta=90.00 gamma=90.00
Fractional positions:
Sr1 0.000 0.000 0.000
Ni1 0.500 0.500 0.500
P1 0.000 0.500 0.500
P2 0.500 0.000 0.500
S1 0.500 0.500 0.000

B:
The following is a DFT calculation (PBE) of crystalline SrNiP2S at its relaxed geometry.

Results
Symmetry: P4/mmm (123)
V in Å³ per atom: 32.2

Unit cell a=5.473 b=5.473 c=5.383 alpha=90.00 beta=90.00 gamma=90.00
Fractional positions:
Sr1 0.000 0.000 0.000
Ni1 0.500 0.500 0.500
P1 0.000 0.500 0.000
P2 0.500 0.000 0.000
S1 0.000 0.000 0.500

Stability ranking, top and bottom: A is the most stable and B is the least stable.

A:
The following is a DFT calculation (PBE) of crystalline SrNiPS2 at its relaxed geometry.

Results
Symmetry: P4/mmm (123)
V in Å³ per atom: 34.7

Unit cell a=5.529 b=5.529 c=5.672 alpha=90.00 beta=90.00 gamma=90.00
Fractional positions:
Sr1 0.000 0.000 0.000
Ni1 0.500 0.500 0.500
P1 0.000 0.000 0.500
S1 0.000 0.500 0.000
S2 0.500 0.000 0.000

B:
The following is a DFT calculation (PBE) of crystalline SrNiPS2 at its relaxed geometry.

Results
Symmetry: P4/mmm (123)
V in Å³ per atom: 20.1

Unit cell a=4.909 b=4.909 c=4.165 alpha=90.00 beta=90.00 gamma=90.00
Fractional positions:
Sr1 0.000 0.000 0.000
Ni1 0.500 0.500 0.500
P1 0.500 0.500 0.000
S1 0.000 0.500 0.500
S2 0.500 0.000 0.500

Stability ranking, top and bottom: B is the most stable and A is the least stable.

A:
The following is a DFT calculation (PBE) of crystalline TlNiPS2 at its relaxed geometry.

Results
Symmetry: P4/mmm (123)
V in Å³ per atom: 20.1

Unit cell a=4.927 b=4.927 c=4.134 alpha=90.00 beta=90.00 gamma=90.00
Fractional positions:
Tl1 0.000 0.000 0.000
Ni1 0.500 0.500 0.500
P1 0.500 0.500 0.000
S1 0.000 0.500 0.500
S2 0.500 0.000 0.500

B:
The following is a DFT calculation (PBE) of crystalline TlNiPS2 at its relaxed geometry.

Results
Symmetry: P4/mmm (123)
V in Å³ per atom: 26.9

Unit cell a=5.143 b=5.143 c=5.078 alpha=90.00 beta=90.00 gamma=90.00
Fractional positions:
Tl1 0.000 0.000 0.000
Ni1 0.500 0.500 0.500
P1 0.000 0.000 0.500
S1 0.000 0.500 0.000
S2 0.500 0.000 0.000

Stability ranking, top and bottom: A is the most stable and B is the least stable.

A:
The following is a DFT calculation (PBE) of crystalline TlNiP2S at its relaxed geometry.

Results
Symmetry: P4/mmm (123)
V in Å³ per atom: 26.2

Unit cell a=5.080 b=5.080 c=5.082 alpha=90.00 beta=90.00 gamma=90.00
Fractional positions:
Tl1 0.000 0.000 0.000
Ni1 0.500 0.500 0.500
P1 0.000 0.500 0.000
P2 0.500 0.000 0.000
S1 0.000 0.000 0.500

B:
The following is a DFT calculation (PBE) of crystalline TlNiP2S at its relaxed geometry.

Results
Symmetry: P4/mmm (123)
V in Å³ per atom: 19.7

Unit cell a=4.379 b=4.379 c=5.146 alpha=90.00 beta=90.00 gamma=90.00
Fractional positions:
Tl1 0.000 0.000 0.000
Ni1 0.500 0.500 0.500
P1 0.000 0.500 0.500
P2 0.500 0.000 0.500
S1 0.500 0.500 0.000

Stability ranking, top and bottom: B is the most stable and A is the least stable.

A:
The following is a DFT calculation (PBE) of crystalline YNiPS2 at its relaxed geometry.

Results
Symmetry: P4/mmm (123)
V in Å³ per atom: 18.2

Unit cell a=4.623 b=4.623 c=4.268 alpha=90.00 beta=90.00 gamma=90.00
Fractional positions:
Y1 0.000 0.000 0.000
Ni1 0.500 0.500 0.500
P1 0.500 0.500 0.000
S1 0.000 0.500 0.500
S2 0.500 0.000 0.500

B:
The following is a DFT calculation (PBE) of crystalline YNiPS2 at its relaxed geometry.

Results
Symmetry: P4/mmm (123)
V in Å³ per atom: 28.5

Unit cell a=5.174 b=5.174 c=5.316 alpha=90.00 beta=90.00 gamma=90.00
Fractional positions:
Y1 0.000 0.000 0.000
Ni1 0.500 0.500 0.500
P1 0.000 0.000 0.500
S1 0.000 0.500 0.000
S2 0.500 0.000 0.000

Stability ranking, top and bottom: A is the most stable and B is the least stable.

A:
The following is a DFT calculation (PBE) of crystalline ZrNiP2S at its relaxed geometry.

Results
Symmetry: P4/mmm (123)
V in Å³ per atom: 17.1

Unit cell a=4.315 b=4.315 c=4.586 alpha=90.00 beta=90.00 gamma=90.00
Fractional positions:
Zr1 0.000 0.000 0.000
Ni1 0.500 0.500 0.500
P1 0.000 0.500 0.500
P2 0.500 0.000 0.500
S1 0.500 0.500 0.000

B:
The following is a DFT calculation (PBE) of crystalline ZrNiP2S at its relaxed geometry.

Results
Symmetry: P4/mmm (123)
V in Å³ per atom: 24.7

Unit cell a=5.026 b=5.026 c=4.886 alpha=90.00 beta=90.00 gamma=90.00
Fractional positions:
Zr1 0.000 0.000 0.000
Ni1 0.500 0.500 0.500
P1 0.000 0.500 0.000
P2 0.500 0.000 0.000
S1 0.000 0.000 0.500

Stability ranking, top and bottom: A is the most stable and B is the least stable.

A:
The following is a DFT calculation (PBE) of crystalline Ni2SbP2 at its relaxed geometry.

Results
Symmetry: P4/nmm (129)
V in Å³ per atom: 14.9

Unit cell a=3.910 b=3.910 c=9.765 alpha=90.00 beta=90.00 gamma=90.00
Fractional positions:
Ni1 0.250 0.250 0.131
Ni2 0.250 0.750 0.500
Ni3 0.750 0.250 0.500
Ni4 0.750 0.750 0.869
Sb1 0.250 0.250 0.724
Sb2 0.750 0.750 0.276
P1 0.250 0.250 0.365
P2 0.250 0.750 0.000
P3 0.750 0.250 0.000
P4 0.750 0.750 0.635

B:
The following is a DFT calculation (PBE) of crystalline Ni2SbP2 at its relaxed geometry.

Results
Symmetry: I4/mmm (139)
V in Å³ per atom: 15.0

Unit cell a=6.058 b=6.058 c=6.058 alpha=144.41 beta=144.41 gamma=51.22
Fractional positions:
Ni1 0.121 0.121 0.000
Ni2 0.879 0.879 0.000
Sb1 0.500 0.500 0.000
P1 0.250 0.750 0.500
P2 0.750 0.250 0.500

Stability ranking, top and bottom: A is the most stable and B is the least stable.